--- i ---
Computed, not measured: KMnPd after structural relaxation at the GGA-PBE level of DFT.

Cell: 4.358 6.751 6.474 Å, 88.20 109.34 72.12°
Sites, in units of the cell vectors:
Mn 0.960 0.425 0.294
Mn 0.825 0.261 0.875
K 0.110 0.698 0.856
K 0.674 0.989 0.312
Pd 0.527 0.481 0.485
Pd 0.257 0.205 0.684

Results
SG: P-1

***

--- ii ---
Computed, not measured: KMnPd after structural relaxation at the GGA-PBE level of DFT.

Cell: 6.318 4.618 11.863 Å, 90.00 90.00 90.00°
Sites, in units of the cell vectors:
K 0.607 0.750 0.873
K 0.393 0.250 0.127
K 0.893 0.250 0.373
K 0.107 0.750 0.627
Pd 0.099 0.750 0.950
Pd 0.599 0.750 0.550
Pd 0.401 0.250 0.450
Pd 0.901 0.250 0.050
Mn 0.407 0.750 0.358
Mn 0.593 0.250 0.642
Mn 0.093 0.250 0.858
Mn 0.907 0.750 0.142

Results
SG: Pnma

***

Quick one: most stable of them? i

***

--- i ---
Computed, not measured: KMnPd after structural relaxation at the GGA-PBE level of DFT.

Cell: 3.125 13.327 3.118 Å, 91.71 93.60 88.49°
Sites, in units of the cell vectors:
K 0.071 0.004 0.217
K 0.626 0.682 0.640
Mn 0.046 0.307 0.243
Mn 0.648 0.380 0.612
Pd 0.556 0.188 0.729
Pd 0.140 0.499 0.126

Results
SG: P-1

***

--- ii ---
Computed, not measured: KMnPd after structural relaxation at the GGA-PBE level of DFT.

Cell: 12.744 5.553 5.553 Å, 133.88 141.22 38.78°
Sites, in units of the cell vectors:
K 0.145 0.484 0.516
K 0.855 0.516 0.484
Pd 0.604 0.082 0.918
Pd 0.396 0.918 0.082
Mn 0.441 0.482 0.518
Mn 0.559 0.518 0.482

Results
SG: C2/m

***

--- iii ---
Computed, not measured: KMnPd after structural relaxation at the GGA-PBE level of DFT.

Cell: 3.242 3.242 13.151 Å, 90.00 90.00 90.00°
Sites, in units of the cell vectors:
K 0.500 0.000 0.836
K 0.000 0.500 0.164
Mn 0.500 0.500 0.500
Mn 0.000 0.000 0.500
Pd 0.000 0.500 0.656
Pd 0.500 0.000 0.344

Results
SG: P4/nmm

***

--- iv ---
Computed, not measured: KMnPd after structural relaxation at the GGA-PBE level of DFT.

Cell: 5.132 5.132 5.732 Å, 90.00 90.00 120.00°
Sites, in units of the cell vectors:
Mn 0.333 0.667 0.750
Mn 0.667 0.333 0.250
Pd 0.667 0.333 0.750
Pd 0.333 0.667 0.250
K 0.000 0.000 0.500
K 0.000 0.000 0.000

Results
SG: P6_3/mmc

***

Quick one: most stable of them? i

***

--- i ---
Computed, not measured: KMnPd after structural relaxation at the GGA-PBE level of DFT.

Cell: 3.907 11.733 3.905 Å, 93.54 59.97 90.58°
Sites, in units of the cell vectors:
Mn 0.333 0.499 0.833
Mn 0.667 0.501 0.167
Pd 0.010 0.382 0.473
Pd 0.990 0.618 0.527
K 0.307 0.813 0.904
K 0.693 0.187 0.096

Results
SG: P-1

***

--- ii ---
Computed, not measured: KMnPd after structural relaxation at the GGA-PBE level of DFT.

Cell: 5.886 5.886 9.671 Å, 90.00 90.00 120.00°
Sites, in units of the cell vectors:
Pd 0.000 0.000 0.500
Pd 0.000 0.000 0.000
K 0.333 0.667 0.250
K 0.667 0.333 0.750
Mn 0.000 0.000 0.750
Mn 0.000 0.000 0.250

Results
SG: P6_3/mmc

***

Quick one: most stable of them? i

***

--- i ---
Computed, not measured: KMnPd after structural relaxation at the GGA-PBE level of DFT.

Cell: 20.979 10.489 10.489 Å, 153.08 164.31 15.69°
Sites, in units of the cell vectors:
Mn 0.500 0.301 0.301
Mn 0.500 0.699 0.699
Pd 0.064 0.360 0.640
Pd 0.936 0.640 0.360
K 0.352 0.811 0.189
K 0.648 0.189 0.811

Results
SG: C2/m

***

--- ii ---
Computed, not measured: KMnPd after structural relaxation at the GGA-PBE level of DFT.

Cell: 3.904 11.879 3.908 Å, 81.04 59.98 85.96°
Sites, in units of the cell vectors:
K 0.648 0.031 0.310
K 0.667 0.656 0.005
Pd 0.328 0.461 0.765
Pd 0.321 0.226 0.880
Mn 0.991 0.343 0.489
Mn 0.658 0.343 0.156

Results
SG: P1

***

Quick one: most stable of them? ii

***

--- i ---
Computed, not measured: KMnPd after structural relaxation at the GGA-PBE level of DFT.

Cell: 5.195 4.718 8.823 Å, 122.40 63.80 89.98°
Sites, in units of the cell vectors:
Pd 0.702 0.182 0.432
Pd 0.298 0.818 0.568
K 0.306 0.677 0.927
K 0.694 0.323 0.073
Mn 0.141 0.260 0.510
Mn 0.859 0.740 0.490

Results
SG: P-1

***

--- ii ---
Computed, not measured: KMnPd after structural relaxation at the GGA-PBE level of DFT.

Cell: 4.262 12.292 3.078 Å, 84.11 90.01 89.82°
Sites, in units of the cell vectors:
K 0.749 0.168 0.661
K 0.251 0.832 0.339
Mn 0.751 0.429 0.527
Mn 0.249 0.571 0.473
Pd 0.251 0.384 0.048
Pd 0.749 0.616 0.952

Results
SG: P-1

***

--- iii ---
Computed, not measured: KMnPd after structural relaxation at the GGA-PBE level of DFT.

Cell: 8.859 2.992 10.554 Å, 90.00 90.00 90.00°
Sites, in units of the cell vectors:
Pd 0.757 0.750 0.594
Pd 0.243 0.250 0.406
Pd 0.257 0.750 0.906
Pd 0.743 0.250 0.094
K 0.578 0.750 0.329
K 0.922 0.250 0.829
K 0.078 0.750 0.171
K 0.422 0.250 0.671
Mn 0.933 0.250 0.468
Mn 0.567 0.750 0.968
Mn 0.433 0.250 0.032
Mn 0.067 0.750 0.532

Results
SG: Pnma

***

--- iv ---
Computed, not measured: KMnPd after structural relaxation at the GGA-PBE level of DFT.

Cell: 4.375 4.375 10.485 Å, 90.00 90.00 120.00°
Sites, in units of the cell vectors:
Pd 0.333 0.667 0.750
Pd 0.667 0.333 0.250
Mn 0.667 0.333 0.750
Mn 0.333 0.667 0.250
K 0.000 0.000 0.500
K 0.000 0.000 0.000

Results
SG: P6_3/mmc

***

Quick one: most stable of them? ii

***

--- i ---
Computed, not measured: K2Mn2Pt after structural relaxation at the GGA-PBE level of DFT.

Cell: 3.879 3.879 8.256 Å, 76.41 76.41 90.00°
Sites, in units of the cell vectors:
K 0.250 0.750 0.500
K 0.750 0.250 0.500
Mn 0.576 0.576 0.849
Mn 0.424 0.424 0.151
Pt 0.000 0.000 0.000

Results
SG: I4/mmm

***

--- ii ---
Computed, not measured: K2Mn2Pt after structural relaxation at the GGA-PBE level of DFT.

Cell: 9.490 9.490 2.749 Å, 90.00 90.00 90.00°
Sites, in units of the cell vectors:
K 0.214 0.714 0.500
K 0.286 0.214 0.500
K 0.714 0.786 0.500
K 0.786 0.286 0.500
Mn 0.431 0.931 0.000
Mn 0.069 0.431 0.000
Mn 0.569 0.069 0.000
Mn 0.931 0.569 0.000
Pt 0.500 0.500 0.000
Pt 0.000 0.000 0.000

Results
SG: P4/mbm

***

Quick one: most stable of them? i